Here is crystalline LiTeBr6 at its relaxed geometry from Alexandria. Energies are from PBE.

space group = R-3 (148)

Cell: 6.955 6.952 7.257 Å, 61.37 61.36 59.99°
Element x y z (fractional)
Te: 0.000 0.000 0.000
Br: 0.235 0.907 0.256
Br: 0.765 0.093 0.744
Br: 0.907 0.602 0.255
Br: 0.093 0.398 0.745
Br: 0.398 0.765 0.745
Br: 0.602 0.235 0.255
Li: 0.500 0.500 0.500

Here is crystalline Li2TeBr at its relaxed geometry from Alexandria. Energies are from PBE.

space group = P2/m (10)

Cell: 3.386 3.861 7.494 Å, 89.92 90.00 90.00°
Element x y z (fractional)
Br: 0.500 0.750 0.750
Li: 0.000 0.746 0.503
Li: 0.000 0.754 0.997
Te: 0.500 0.250 0.250

Here is crystalline Li2TeBr at its relaxed geometry from Alexandria. Energies are from PBE.

space group = R-3m (166)

Cell: 7.663 7.663 7.663 Å, 28.12 28.12 28.12°
Element x y z (fractional)
Te: 0.250 0.250 0.250
Br: 0.750 0.750 0.750
Li: 0.011 0.011 0.011
Li: 0.489 0.489 0.489

Here is crystalline Li2TeBr4 at its relaxed geometry from Alexandria. Energies are from PBE.

space group = I-42m (121)

Cell: 7.192 7.192 6.402 Å, 124.17 124.17 90.00°
Element x y z (fractional)
Li: 0.750 0.250 0.500
Li: 0.250 0.750 0.500
Te: 0.500 0.500 0.000
Br: 0.690 0.690 0.846
Br: 0.844 0.310 0.154
Br: 0.310 0.844 0.154
Br: 0.156 0.156 0.846

Here is crystalline LiTe2Br8 at its relaxed geometry from Alexandria. Energies are from PBE.

space group = P-3 (147)

Cell: 5.951 8.708 8.711 Å, 120.00 90.00 90.00°
Element x y z (fractional)
Br: 0.256 0.683 0.841
Br: 0.251 0.667 0.333
Br: 0.744 0.842 0.683
Br: 0.749 0.333 0.667
Br: 0.256 0.159 0.842
Br: 0.744 0.841 0.158
Br: 0.256 0.158 0.317
Br: 0.744 0.317 0.159
Li: 0.000 0.000 0.000
Te: 0.776 0.667 0.333
Te: 0.224 0.333 0.667

Here is crystalline Li3TeBr at its relaxed geometry from Alexandria. Energies are from PBE.

space group = Pm-3m (221)

Cell: 4.833 4.833 4.833 Å, 90.00 90.00 90.00°
Element x y z (fractional)
Li: 0.000 0.500 0.000
Li: 0.500 0.000 0.000
Li: 0.000 0.000 0.500
Br: 0.000 0.000 0.000
Te: 0.500 0.500 0.500

Here is crystalline LiTeBr2 at its relaxed geometry from Alexandria. Energies are from PBE.

space group = Fm-3m (225)

Cell: 5.439 5.439 5.439 Å, 60.00 60.00 60.00°
Element x y z (fractional)
Te: 0.500 0.500 0.500
Br: 0.250 0.250 0.250
Br: 0.750 0.750 0.750
Li: 0.000 0.000 0.000

Here is crystalline Li2TeBr at its relaxed geometry from Alexandria. Energies are from PBE.

space group = Cmmm (65)

Cell: 3.559 3.559 7.826 Å, 90.00 90.00 111.95°
Element x y z (fractional)
Br: 0.500 0.500 0.750
Li: 0.000 0.000 0.974
Li: 0.000 0.000 0.526
Te: 0.500 0.500 0.250

Looking at ΔE_f (raw) for the records above, in order, we have -0.464 -0.992 -1.045 -0.789 -0.382 -1.008 -0.172 -0.950 eV per atom.